# 1
VASP calculation (SCAN) on a PBEsol-optimized structure of K2HAu.

POSCAR file:
```
K2HAu
1.0
-0.156 6.693 -0.276
-1.129 -2.121 6.255
6.026 -2.289 -1.830
K Au H
4 2 2
Direct
0.569 0.194 0.125 K
0.931 0.375 0.806 K
0.069 0.875 0.444 K
0.431 0.556 0.625 K
0.000 0.000 0.000 Au
0.500 0.750 0.250 Au
0.000 0.500 0.500 H
0.500 0.250 0.750 H
```

Calculated values
- Fermi-level density of states: 0.00 states/eV per cell
- Calculated total energy: -22.5646 eV/atom
- SG: I-42d (122)

=====

# 2
VASP calculation (SCAN) on a PBEsol-optimized structure of Dy3Ge13Os4.

POSCAR file:
```
Dy3Ge13Os4
1.0
8.955 0.000 0.000
0.000 8.955 0.000
0.000 0.000 8.955
Ge Dy Os
26 6 8
Direct
0.201 0.645 0.500 Ge
0.645 0.500 0.799 Ge
0.355 0.500 0.201 Ge
0.299 0.000 0.855 Ge
0.701 0.000 0.855 Ge
0.500 0.799 0.355 Ge
0.500 0.500 0.500 Ge
0.799 0.645 0.500 Ge
0.299 0.000 0.145 Ge
0.000 0.000 0.000 Ge
0.855 0.701 0.000 Ge
0.701 0.000 0.145 Ge
0.000 0.855 0.299 Ge
0.500 0.201 0.645 Ge
0.855 0.299 0.000 Ge
0.500 0.799 0.645 Ge
0.799 0.355 0.500 Ge
0.645 0.500 0.201 Ge
0.355 0.500 0.799 Ge
0.145 0.299 0.000 Ge
0.500 0.201 0.355 Ge
0.000 0.145 0.701 Ge
0.145 0.701 0.000 Ge
0.000 0.855 0.701 Ge
0.201 0.355 0.500 Ge
0.000 0.145 0.299 Ge
0.250 0.000 0.500 Dy
0.000 0.500 0.250 Dy
0.500 0.750 0.000 Dy
0.500 0.250 0.000 Dy
0.750 0.000 0.500 Dy
0.000 0.500 0.750 Dy
0.250 0.250 0.250 Os
0.250 0.750 0.750 Os
0.250 0.250 0.750 Os
0.750 0.250 0.750 Os
0.750 0.750 0.750 Os
0.750 0.750 0.250 Os
0.750 0.250 0.250 Os
0.250 0.750 0.250 Os
```

Calculated values
- Fermi-level density of states: 14.59 states/eV per cell
- SG: Pm-3n (223)
- Energy relative to the elements: -422 meV/atom

=====

# 3
VASP calculation (SCAN) on a PBEsol-optimized structure of CsOsS2N.

POSCAR file:
```
CsOsS2N
1.0
-2.954 0.664 2.253
-1.543 -4.704 -0.637
2.696 -1.419 3.954
S Cs N Os
2 1 1 1
Direct
0.000 0.000 0.500 S
0.000 0.500 0.000 S
0.500 0.500 0.500 Cs
0.500 0.000 0.000 N
0.000 0.000 0.000 Os
```

Calculated values
- Fermi-level density of states: 3.02 states/eV per cell
- Uncorrected formation energy: 3.31 kcal/mol of atoms
- SG: P4/mmm (123)

=====

# 4
VASP calculation (SCAN) on a PBEsol-optimized structure of SrMnAu2.

POSCAR file:
```
SrMnAu2
1.0
3.409 0.000 0.000
0.000 3.409 0.000
0.000 0.000 7.076
Au Sr Mn
2 1 1
Direct
0.000 0.000 0.197 Au
0.000 0.000 0.803 Au
0.500 0.500 0.500 Sr
0.500 0.500 0.000 Mn
```

Calculated values
- Fermi-level density of states: 1.83 states/eV per cell
- SG: P4/mmm (123)
- Energy relative to the elements: -608 meV/atom

=====

- What is the Fermi-level density of states in the second record?
  14.59 states/eV per cell

=====

- What is the formula in the fourth record?
  SrMnAu2

=====

- Look up the Fermi-level density of states of the first one.
  0.00 states/eV per cell